Entry from Alexandria via LeMat-Bulk: an optimized crystal structure of TmNb5Ge4 (PBE).

a = 4.8572 Å, b = 8.1359 Å, c = 9.6094 Å
α = 90.00°, β = 90.00°, γ = 90.00°
With the nearest neighbours (Å) after each atom.
Atoms (fractional coordinates):
Nb 0.7566 0.6739 0.2951  4 Ge 2.66-2.92, 3 Nb 2.81-2.91
Nb 0.7566 0.3261 0.2951  4 Ge 2.66-2.92, 3 Nb 2.81-2.91
Nb 0.2434 0.8261 0.7951  4 Ge 2.66-2.92, 3 Nb 2.81-2.91
Nb 0.2434 0.8261 0.2049  4 Ge 2.66-2.92, 3 Nb 2.81-2.91
Nb 0.2434 0.1739 0.2049  4 Ge 2.66-2.92, 3 Nb 2.81-2.91
Nb 0.2434 0.1739 0.7951  4 Ge 2.66-2.92, 3 Nb 2.81-2.91
Nb 0.0160 0.0000 0.5000  4 Ge 2.54-2.59
Nb 0.7566 0.3261 0.7049  4 Ge 2.66-2.92, 3 Nb 2.81-2.91
Nb 0.7566 0.6739 0.7049  4 Ge 2.66-2.92, 3 Nb 2.81-2.91
Nb 0.9840 0.5000 0.0000  4 Ge 2.54-2.59
Tm 0.2461 0.5000 0.5000  4 Ge 2.66-2.92
Tm 0.7539 0.0000 0.0000  4 Ge 2.66-2.92
Ge 0.4701 0.1668 0.5000  3 Nb 2.59-2.74, 3 Ge 2.71-2.85
Ge 0.2634 0.5000 0.2236  3 Nb 2.54-2.66, 1 Tm 2.66
Ge 0.2634 0.5000 0.7764  3 Nb 2.54-2.66, 1 Tm 2.66
Ge 0.7366 0.0000 0.2764  3 Nb 2.54-2.66, 1 Tm 2.66
Ge 0.5299 0.3332 0.0000  3 Nb 2.59-2.74, 3 Ge 2.71-2.85
Ge 0.5299 0.6668 0.0000  3 Nb 2.59-2.74, 3 Ge 2.71-2.85
Ge 0.7366 0.0000 0.7236  3 Nb 2.54-2.66, 1 Tm 2.66
Ge 0.4701 0.8332 0.5000  3 Nb 2.59-2.74, 3 Ge 2.71-2.85

Formation enthalpy at 0 K   -0.1714 eV/atom
Total magnetization   0.0 Bohr magnetons per cell
Calculated density   8.08 g cm⁻³